Rb2LiCoF6: optimized geometry, PBE with a Hubbard U.

* total energy: -45.02 eV/cell
* magnetic moment: 0.01 μB per atom
* SG: Fm-3m, No. 225

Unit cell a=5.8149 b=5.8149 c=5.8149 alpha=60.00 beta=60.00 gamma=60.00
Element x y z (fractional)
Rb1 0.2500 0.2500 0.2500
Rb2 0.7500 0.7500 0.7500
Li1 0.0000 0.0000 0.0000
Co1 0.5000 0.5000 0.5000
F1 0.2696 0.2696 0.7304
F2 0.2696 0.7304 0.2696
F3 0.2696 0.7304 0.7304
F4 0.7304 0.2696 0.2696
F5 0.7304 0.2696 0.7304
F6 0.7304 0.7304 0.2696